(1)
Compound: P2IrRh
Source: Alexandria via LeMat-Bulk
Functional: PBE
Structure: relaxed

Properties
Magnetization   0.0000 μB/atom
Total DFT energy (no corrections)   -6.96 eV/atom
Calculated formation energy   -203 meV/atom
Polymorph energy (0 for the lowest one)   0.256 eV per atom

a b c (Å): 7.526 2.948 5.077
angles (deg): 90.00 102.96 90.00
Space group C2/m (No. 12)
Inequivalent atoms, fractional coordinates:
P: 0.249 0.000 0.248 [4 per cell]
Ir: 0.000 0.500 0.000 [2 per cell]
Rh: 0.000 0.000 0.500 [2 per cell]

---

(2)
Compound: P2IrRh
Source: Alexandria via LeMat-Bulk
Functional: PBE
Structure: relaxed

Properties
Magnetization   0.0000 μB/atom
Total DFT energy (no corrections)   -6.29 eV/atom
Calculated formation energy   469 meV/atom
Polymorph energy (0 for the lowest one)   0.928 eV per atom

a b c (Å): 6.119 6.119 6.119
angles (deg): 90.00 90.00 90.00
Space group F-43m (No. 216)
Inequivalent atoms, fractional coordinates:
P: 0.000 0.000 0.000 [4 per cell]
P: 0.250 0.250 0.250 [4 per cell]
Ir: 0.000 0.000 0.500 [4 per cell]
Rh: 0.250 0.250 0.750 [4 per cell]

---

(3)
Compound: PIrRh2
Source: Alexandria via LeMat-Bulk
Functional: PBE
Structure: relaxed

Properties
Magnetization   0.1621 μB/atom
Total DFT energy (no corrections)   -7.31 eV/atom
Calculated formation energy   -68 meV/atom

a b c (Å): 2.843 2.843 6.833
angles (deg): 90.00 90.00 90.00
Space group P4mm (No. 99)
Inequivalent atoms, fractional coordinates:
P: 0.000 0.000 0.000 [1 per cell]
Ir: 0.500 0.500 0.784 [1 per cell]
Rh: 0.000 0.000 0.500 [1 per cell]
Rh: 0.500 0.500 0.208 [1 per cell]

---

> Among the records above, which one has the highest total DFT energy (no corrections)?

number 2